An optimized crystal structure of Mn3Nb2ZnO9, computed with PBE with a Hubbard U.

Calculated values
- M_tot: 1.000 μB per atom
- Total energy: -7.97 eV/atom
- Density of states at the Fermi level: 0.00 states/eV/cell

Unit cell a=5.3650 b=5.3650 c=14.5357 alpha=90.00 beta=90.00 gamma=120.00
Space group P3c1 (No. 158)
Inequivalent atoms, fractional coordinates:
1 Mn 0.0000 0.0000 0.0000 (multiplicity 2)
2 Mn 0.0000 0.0000 0.2161 (multiplicity 2)
3 Mn 0.6667 0.3333 0.0318 (multiplicity 2)
4 Nb 0.3333 0.6667 0.1600 (multiplicity 2)
5 Nb 0.3333 0.6667 0.3771 (multiplicity 2)
6 Zn 0.6667 0.3333 0.3106 (multiplicity 2)
7 O 0.0236 0.3295 0.1042 (multiplicity 6)
8 O 0.0465 0.3901 0.7686 (multiplicity 6)
9 O 0.3590 0.0025 0.4332 (multiplicity 6)